Rb2Be2TeO6: optimized geometry, PBE.

Unit cell a=5.3926 b=5.3926 c=18.7867 alpha=90.00 beta=90.00 gamma=120.00
Closest atoms and distances in Å follow each position.
Space group R-3m (No. 166, hexagonal axes)
One atom of each set of equivalent atoms:
Rb 0.0000 0.0000 0.2084 (multiplicity 6)  9 O 2.95-3.17
Be 0.0000 0.0000 0.3874 (multiplicity 6)  3 O 1.56
Te 0.0000 0.0000 0.0000 (multiplicity 3)  6 O 1.95
O 0.0016 0.5008 0.2715 (multiplicity 18)  1 Be 1.56

D(E_F): 0.00 states/eV/cell
Formation energy from raw total energies: -1812 meV/atom

***

RbBe4Te3O12: optimized geometry, PBE.

Unit cell a=10.2244 b=10.2244 c=8.6183 alpha=90.00 beta=90.00 gamma=120.00
Closest atoms and distances in Å follow each position.
Space group R32 (No. 155, hexagonal axes)
One atom of each set of equivalent atoms:
Rb 0.0000 0.0000 0.0000 (multiplicity 3)  6 O 2.81
Be 0.0000 0.0000 0.5000 (multiplicity 3)  3 O 1.58
Be 0.0000 0.4402 0.5000 (multiplicity 9)  3 O 1.53-1.58
Te 0.0000 0.5501 0.0000 (multiplicity 9)  2 O 1.93
O 0.0000 0.5951 0.5000 (multiplicity 9)  1 Be 1.58
O 0.0000 0.8457 0.5000 (multiplicity 9)  1 Be 1.58
O 0.0321 0.2180 0.2186 (multiplicity 18)  1 Be 1.53

D(E_F): 8.84 states/eV/cell
Formation energy from raw total energies: -1583 meV/atom

***

RbBeTeO4: optimized geometry, PBE.

Unit cell a=8.2428 b=8.2428 c=8.2428 alpha=90.00 beta=90.00 gamma=90.00
Closest atoms and distances in Å follow each position.
Space group F-43m (No. 216)
One atom of each set of equivalent atoms:
Rb 0.0000 0.0000 0.0000 (multiplicity 4)  12 O 3.44, 4 Te 3.57
Be 0.0000 0.0000 0.5000 (multiplicity 4)  4 O 1.65
Te 0.2500 0.2500 0.7500 (multiplicity 4)  4 O 1.91
O 0.1159 0.1159 0.6159 (multiplicity 16)  1 Be 1.65

D(E_F): 11.11 states/eV/cell
Formation energy from raw total energies: -1390 meV/atom

***

RbThBeO4: optimized geometry, PBE.

Unit cell a=5.8885 b=4.6925 c=8.1217 alpha=90.00 beta=101.86 gamma=90.00
Closest atoms and distances in Å follow each position.
Space group P2_1/m (No. 11)
One atom of each set of equivalent atoms:
Rb 0.2445 0.2500 0.4570 (multiplicity 2)  5 O 2.81-3.05
Th 0.2338 0.2500 0.9320 (multiplicity 2)  6 O 2.24-2.47
Be 0.2613 0.7500 0.1756 (multiplicity 2)  4 O 1.59-1.69
O 0.0679 0.7500 0.2865 (multiplicity 2)  1 Be 1.59
O 0.1233 0.7500 0.9716 (multiplicity 2)  1 Be 1.69
O 0.4671 0.5045 0.1876 (multiplicity 4)  1 Be 1.66

D(E_F): 2.44 states/eV/cell
Formation energy from raw total energies: -2558 meV/atom

***

RbTiBeO4: optimized geometry, PBE.

Unit cell a=5.0466 b=5.4313 c=6.9731 alpha=90.00 beta=90.93 gamma=90.00
Closest atoms and distances in Å follow each position.
Space group P2_1/m (No. 11)
One atom of each set of equivalent atoms:
Rb 0.2238 0.2500 0.0709 (multiplicity 2)  1 O 2.70
Ti 0.1579 0.7500 0.4641 (multiplicity 2)  6 O 1.87-2.06
Be 0.3476 0.2500 0.6334 (multiplicity 2)  4 O 1.62-1.64
O 0.1305 0.0255 0.6498 (multiplicity 4)  1 Be 1.64
O 0.3715 0.7500 0.2468 (multiplicity 2)  1 Be 1.63
O 0.4658 0.2500 0.4183 (multiplicity 2)  1 Be 1.62

D(E_F): 0.15 states/eV/cell
Formation energy from raw total energies: -2254 meV/atom

***

RbBeTlO3: optimized geometry, PBE.

Unit cell a=7.8456 b=3.2891 c=7.9421 alpha=90.00 beta=107.26 gamma=90.00
Closest atoms and distances in Å follow each position.
Space group P2_1/m (No. 11)
One atom of each set of equivalent atoms:
Rb 0.2319 0.2500 0.1990 (multiplicity 2)  7 O 2.86-3.20
Be 0.4058 0.7500 0.9257 (multiplicity 2)  2 O 1.62
Tl 0.1582 0.2500 0.6591 (multiplicity 2)  5 O 2.26-2.38
O 0.1582 0.7500 0.4643 (multiplicity 2)  3 Tl 2.26-2.38
O 0.1897 0.7500 0.8636 (multiplicity 2)  1 Be 1.62
O 0.4741 0.2500 0.8696 (multiplicity 2)  1 Be 1.62

Formation energy from raw total energies: -1478 meV/atom

***

RbTmBeO3: optimized geometry, PBE.

Unit cell a=7.7008 b=3.3479 c=7.8525 alpha=90.00 beta=110.12 gamma=90.00
Closest atoms and distances in Å follow each position.
Space group P2_1/m (No. 11)
One atom of each set of equivalent atoms:
Rb 0.2317 0.2500 0.2038 (multiplicity 2)  7 O 2.93-3.09, 2 Be 3.26
Tm 0.1590 0.2500 0.6628 (multiplicity 2)  6 O 2.21-2.32
Be 0.3946 0.7500 0.9348 (multiplicity 2)  2 O 1.56-1.59
O 0.1454 0.7500 0.4710 (multiplicity 2)  3 Tm 2.21-2.23
O 0.1787 0.7500 0.8613 (multiplicity 2)  1 Be 1.56
O 0.4610 0.2500 0.8639 (multiplicity 2)  1 Be 1.59

D(E_F): 0.00 states/eV/cell
Formation energy from raw total energies: -2697 meV/atom

***

Rb2TmBeO4: optimized geometry, PBE.

Unit cell a=5.0430 b=12.0184 c=22.9112 alpha=90.00 beta=90.00 gamma=90.00
Closest atoms and distances in Å follow each position.
Space group Fddd (No. 70, origin choice 2)
One atom of each set of equivalent atoms:
Rb 0.1250 0.1250 0.3030 (multiplicity 16)  4 O 3.07-3.28
Tm 0.1250 0.1250 0.1250 (multiplicity 8)  4 O 2.08
Be 0.1250 0.1250 0.6250 (multiplicity 8)  4 O 1.68
O 0.0670 0.2911 0.8339 (multiplicity 32)  1 Be 1.68

D(E_F): 47.46 states/eV/cell
Formation energy from raw total energies: -1898 meV/atom

***

no.,total energy (eV/cell),calculated volume (Å³ per atom)
1,-186.64,14.34
2,-349.37,13.00
3,-149.60,20.00
4,-99.71,15.69
5,-96.40,13.65
6,-61.60,16.31
7,-80.45,15.84
8,-361.19,21.70